# 1
MgNiAg4 PBE relaxed; raw total energy = -17.3 eV per cell
1.0
0.0000 3.8242 3.8242
3.8242 0.0000 3.8242
3.8242 3.8242 0.0000
Mg Ni Ag
1 1 4
Direct
0.0000 0.0000 0.0000
0.7500 0.7500 0.7500
0.3752 0.3752 0.3752
0.3752 0.3752 0.8745
0.3752 0.8745 0.3752
0.8745 0.3752 0.3752

***

# 2
MgNi2Ag PBE relaxed; raw total energy = -15.7 eV per cell
1.0
4.4815 -1.4144 0.0000
4.4815 1.4144 0.0000
-0.9984 0.0000 4.4678
Mg Ni Ag
1 2 1
Direct
0.0000 0.0000 0.0000
0.2510 0.2510 0.7533
0.7490 0.7490 0.2467
0.5000 0.5000 0.5000

***

# 3
MgNi2Ag PBE relaxed; raw total energy = -15.9 eV per cell
1.0
-1.9383 1.9383 3.7462
1.9383 -1.9383 3.7462
1.9383 1.9383 -3.7462
Mg Ni Ag
1 2 1
Direct
0.0000 0.0000 0.0000
0.2500 0.7500 0.5000
0.7500 0.2500 0.5000
0.5000 0.5000 0.0000

***

# 4
MgNi2Ag PBE relaxed; raw total energy = -15.9 eV per cell
1.0
-1.9448 1.9448 3.7148
1.9448 -1.9448 3.7148
1.9448 1.9448 -3.7148
Mg Ni Ag
1 2 1
Direct
0.0000 0.0000 0.0000
0.2500 0.7500 0.5000
0.5000 0.5000 0.0000
0.7500 0.2500 0.5000

***

# 5
MgNi2Ag PBE relaxed; raw total energy = -15.4 eV per cell
1.0
1.3820 0.7979 8.6149
-1.3820 0.7979 8.6149
0.0000 -1.5958 8.6149
Mg Ni Ag
1 2 1
Direct
0.0000 0.0000 0.0000
0.2528 0.2528 0.2528
0.7472 0.7472 0.7472
0.5000 0.5000 0.5000

***

# 6
Mg4NiAg PBE relaxed; raw total energy = -13.2 eV per cell
1.0
0.0000 3.8839 3.8839
3.8839 0.0000 3.8839
3.8839 3.8839 0.0000
Mg Ni Ag
4 1 1
Direct
0.1247 0.1247 0.1247
0.1247 0.1247 0.6260
0.1247 0.6260 0.1247
0.6260 0.1247 0.1247
0.7500 0.7500 0.7500
0.5000 0.5000 0.5000

***

| no. | volume (Å³ per cell) |
| --- | --- |
| 1 | 111.85 |
| 2 | 56.64 |
| 3 | 56.30 |
| 4 | 56.20 |
| 5 | 57.00 |
| 6 | 117.18 |